[1]
Computed, not measured: a relaxed VSiGe crystal at the PBE-GGA level of DFT.

Cell lengths 4.6873, 4.6873, 6.4995 Å; angles 90.00, 90.00, 120.00 degrees
Space group P3_212 (No. 153)
Symmetry-distinct sites (fractional):
1 V 0.1692 0.3385 0.3333 [3 per cell]
2 Si 0.5018 0.0036 0.3333 [3 per cell]
3 Ge 0.3374 0.1687 0.0000 [3 per cell]

## Properties
* formation energy without anion corrections: -0.294 eV/atom
* E above lowest polymorph: 0 meV per atom
* raw total energy: -60.12 eV for the cell shown
* V: 13.741 A^3/atom

***

[2]
Computed, not measured: a relaxed SiP3 crystal at the PBE-GGA level of DFT.

Cell lengths 4.889, 4.889, 4.889 Å; angles 90.00, 90.00, 90.00 degrees
Space group Pm-3n (No. 223)
Symmetry-distinct sites (fractional):
1 Si 0.000 0.000 0.000 [2 per cell]
2 P 0.000 0.250 0.500 [6 per cell]

## Properties
* formation energy without anion corrections: 0.818 eV/atom
* raw total energy: -36.76 eV for the cell shown
* V: 14.604 A^3/atom

***

[3]
Computed, not measured: a relaxed KLi2ZnN crystal at the PBE-GGA level of DFT.

Cell lengths 5.243, 5.243, 3.885 Å; angles 90.00, 90.00, 90.00 degrees
Space group P4/mmm (No. 123)
Symmetry-distinct sites (fractional):
1 K 0.000 0.000 0.000 [1 per cell]
2 Li 0.000 0.500 0.500 [2 per cell]
3 Zn 0.500 0.500 0.500 [1 per cell]
4 N 0.500 0.500 0.000 [1 per cell]

## Properties
* formation energy without anion corrections: 0.461 eV/atom
* raw total energy: -12.22 eV for the cell shown
* V: 21.359 A^3/atom

***

[4]
Computed, not measured: a relaxed ZnH8Pd6 crystal at the PBE-GGA level of DFT.

Cell lengths 5.5691, 5.5691, 14.9551 Å; angles 90.00, 90.00, 120.00 degrees
Space group R-3 (No. 148, hexagonal axes)
Symmetry-distinct sites (fractional):
1 Zn 0.0000 0.0000 0.0000 [3 per cell]
2 H 0.0000 0.0000 0.2957 [6 per cell]
3 H 0.0289 0.7317 0.1193 [18 per cell]
4 Pd 0.0042 0.6104 0.9123 [18 per cell]

## Properties
* raw total energy: -180.36 eV for the cell shown
* V: 8.926 A^3/atom

***

[5]
Computed, not measured: a relaxed BeInI2O crystal at the PBE-GGA level of DFT.

Cell lengths 6.591, 6.591, 3.020 Å; angles 90.00, 90.00, 90.00 degrees
Space group P4/mmm (No. 123)
Symmetry-distinct sites (fractional):
1 Be 0.000 0.000 0.000 [1 per cell]
2 In 0.500 0.500 0.500 [1 per cell]
3 I 0.000 0.500 0.000 [2 per cell]
4 O 0.000 0.000 0.500 [1 per cell]

## Properties
* formation energy without anion corrections: -0.821 eV/atom
* E above lowest polymorph: 0 meV per atom
* raw total energy: -18.63 eV for the cell shown
* V: 26.237 A^3/atom

***

[6]
Computed, not measured: a relaxed TbAg2 crystal at the PBE-GGA level of DFT.

Cell lengths 3.755, 3.755, 9.307 Å; angles 90.00, 90.00, 90.00 degrees
Space group I4/mmm (No. 139)
Symmetry-distinct sites (fractional):
1 Tb 0.000 0.000 0.000 [2 per cell]
2 Ag 0.000 0.000 0.330 [4 per cell]

## Properties
* raw total energy: -22.50 eV for the cell shown
* formation energy: -0.31 eV/atom
* V: 21.877 A^3/atom

***

[7]
Computed, not measured: a relaxed La5Mn3P crystal at the PBE-GGA level of DFT.

Cell lengths 9.2633, 9.2633, 6.8658 Å; angles 90.00, 90.00, 120.00 degrees
Space group P6_3/mcm (No. 193)
Symmetry-distinct sites (fractional):
1 La 0.0000 0.2524 0.2500 [6 per cell]
2 La 0.3333 0.6667 0.0000 [4 per cell]
3 Mn 0.0000 0.4051 0.7500 [6 per cell]
4 P 0.0000 0.0000 0.0000 [2 per cell]

## Properties
* raw total energy: -115.44 eV for the cell shown
* formation energy: -0.02 eV/atom
* V: 28.342 A^3/atom

***

[8]
Computed, not measured: a relaxed LiGaAu2O crystal at the PBE-GGA level of DFT.

Cell lengths 4.687, 4.687, 3.606 Å; angles 90.00, 90.00, 90.00 degrees
Space group P4/mmm (No. 123)
Symmetry-distinct sites (fractional):
1 Li 0.000 0.000 0.000 [1 per cell]
2 Ga 0.500 0.500 0.000 [1 per cell]
3 Au 0.000 0.500 0.500 [2 per cell]
4 O 0.000 0.000 0.500 [1 per cell]

## Properties
* formation energy without anion corrections: -0.346 eV/atom
* raw total energy: -18.18 eV for the cell shown
* V: 15.843 A^3/atom

***

[9]
Computed, not measured: a relaxed Cu3SbBr9 crystal at the PBE-GGA level of DFT.

Cell lengths 19.474, 8.580, 13.513 Å; angles 90.00, 126.58, 90.00 degrees
Space group Cc (No. 9)
Symmetry-distinct sites (fractional):
1 Cu 0.000 0.060 0.000 [4 per cell]
2 Cu 0.122 0.405 0.937 [4 per cell]
3 Cu 0.402 0.120 0.609 [4 per cell]
4 Sb 0.258 0.230 0.763 [4 per cell]
5 Br 0.048 0.408 0.272 [4 per cell]
6 Br 0.055 0.156 0.896 [4 per cell]
7 Br 0.133 0.014 0.698 [4 per cell]
8 Br 0.133 0.446 0.596 [4 per cell]
9 Br 0.249 0.349 0.949 [4 per cell]
10 Br 0.269 0.102 0.583 [4 per cell]
11 Br 0.378 0.451 0.809 [4 per cell]
12 Br 0.386 0.043 0.943 [4 per cell]
13 Br 0.427 0.387 0.587 [4 per cell]

## Properties
* formation energy without anion corrections: -0.318 eV/atom
* raw total energy: -142.39 eV for the cell shown
* V: 34.865 A^3/atom

***

[10]
Computed, not measured: a relaxed Rb3Hg7Au crystal at the PBE-GGA level of DFT.

Cell lengths 5.121, 24.196, 13.342 Å; angles 90.00, 90.00, 90.00 degrees
Space group Cmcm (No. 63)
Symmetry-distinct sites (fractional):
1 Rb 0.000 0.104 0.043 [8 per cell]
2 Rb 0.000 0.230 0.750 [4 per cell]
3 Hg 0.000 0.266 0.044 [8 per cell]
4 Hg 0.000 0.378 0.139 [8 per cell]
5 Hg 0.000 0.385 0.750 [4 per cell]
6 Hg 0.000 0.498 0.629 [8 per cell]
7 Au 0.000 0.084 0.750 [4 per cell]

## Properties
* raw total energy: -40.83 eV for the cell shown
* formation energy: -0.17 eV/atom
* V: 37.569 A^3/atom

***

[11]
Computed, not measured: a relaxed LaZrPt2Au crystal at the PBE-GGA level of DFT.

Cell lengths 5.159, 5.159, 5.323 Å; angles 90.00, 90.00, 90.00 degrees
Space group P4/mmm (No. 123)
Symmetry-distinct sites (fractional):
1 La 0.000 0.000 0.000 [1 per cell]
2 Zr 0.500 0.500 0.500 [1 per cell]
3 Pt 0.000 0.500 0.000 [2 per cell]
4 Au 0.000 0.000 0.500 [1 per cell]

## Properties
* raw total energy: -25.52 eV for the cell shown
* formation energy: 0.66 eV/atom
* V: 28.337 A^3/atom

***

[12]
Computed, not measured: a relaxed InPd6Au3 crystal at the PBE-GGA level of DFT.

Cell lengths 9.684, 5.424, 7.064 Å; angles 90.00, 107.72, 90.00 degrees
Space group C2/m (No. 12)
Symmetry-distinct sites (fractional):
1 In 0.000 0.000 0.000 [2 per cell]
2 Pd 0.135 0.000 0.428 [4 per cell]
3 Pd 0.158 0.251 0.813 [8 per cell]
4 Au 0.000 0.500 0.500 [2 per cell]
5 Au 0.105 0.500 0.188 [4 per cell]

## Properties
* E above lowest polymorph: 205 meV per atom
* raw total energy: -87.49 eV for the cell shown
* formation energy: 0.00 eV/atom
* V: 17.672 A^3/atom

***

[13]
Computed, not measured: a relaxed HoCo5Ge3 crystal at the PBE-GGA level of DFT.

Cell lengths 3.819, 12.176, 11.134 Å; angles 90.00, 90.00, 90.00 degrees
Space group Cmcm (No. 63)
Symmetry-distinct sites (fractional):
1 Ho 0.000 0.189 0.250 [4 per cell]
2 Co 0.000 0.000 0.000 [4 per cell]
3 Co 0.000 0.190 0.562 [8 per cell]
4 Co 0.000 0.449 0.141 [8 per cell]
5 Ge 0.000 0.103 0.750 [4 per cell]
6 Ge 0.000 0.376 0.553 [8 per cell]

## Properties
* raw total energy: -226.78 eV for the cell shown
* formation energy: -0.30 eV/atom
* V: 14.380 A^3/atom

***

[14]
Computed, not measured: a relaxed Y2CrSb crystal at the PBE-GGA level of DFT.

Cell lengths 4.670, 4.670, 9.066 Å; angles 90.00, 90.00, 90.00 degrees
Space group I4/mmm (No. 139)
Symmetry-distinct sites (fractional):
1 Y 0.000 0.500 0.250 [4 per cell]
2 Cr 0.000 0.000 0.000 [2 per cell]
3 Sb 0.000 0.000 0.500 [2 per cell]

## Properties
* formation energy without anion corrections: -0.210 eV/atom
* raw total energy: -55.03 eV for the cell shown
* V: 24.718 A^3/atom

***

[15]
Computed, not measured: a relaxed Sm2Y3N4 crystal at the PBE-GGA level of DFT.

Cell lengths 11.734, 3.517, 8.717 Å; angles 90.00, 119.29, 90.00 degrees
Space group C2/m (No. 12)
Symmetry-distinct sites (fractional):
1 Sm 0.105 0.000 0.387 [4 per cell]
2 Y 0.000 0.500 0.000 [2 per cell]
3 Y 0.207 0.500 0.814 [4 per cell]
4 N 0.104 0.000 0.905 [4 per cell]
5 N 0.199 0.500 0.297 [4 per cell]

## Properties
* formation energy without anion corrections: -1.425 eV/atom
* raw total energy: -149.92 eV for the cell shown
* V: 17.433 A^3/atom

***

[16]
Computed, not measured: a relaxed MnSi crystal at the PBE-GGA level of DFT.

Cell lengths 7.149, 7.149, 3.726 Å; angles 90.00, 90.00, 90.00 degrees
Space group I4/mmm (No. 139)
Symmetry-distinct sites (fractional):
1 Mn 0.000 0.318 0.000 [8 per cell]
2 Si 0.169 0.169 0.500 [8 per cell]

## Properties
* formation energy without anion corrections: -0.112 eV/atom
* raw total energy: -118.54 eV for the cell shown
* V: 11.901 A^3/atom

***

[17]
Computed, not measured: a relaxed Ba3Sr2Li2Hg4 crystal at the PBE-GGA level of DFT.

Cell lengths 4.9324, 4.9324, 20.2656 Å; angles 90.00, 90.00, 120.00 degrees
Space group P-3m1 (No. 164)
Symmetry-distinct sites (fractional):
1 Ba 0.0000 0.0000 0.0000 [1 per cell]
2 Ba 0.0000 0.0000 0.2322 [2 per cell]
3 Sr 0.3333 0.6667 0.5807 [2 per cell]
4 Li 0.3333 0.6667 0.1182 [2 per cell]
5 Hg 0.3333 0.6667 0.3351 [2 per cell]
6 Hg 0.3333 0.6667 0.8843 [2 per cell]

## Properties
* raw total energy: -17.70 eV for the cell shown
* formation energy: -0.32 eV/atom
* V: 38.816 A^3/atom

***

[18]
Computed, not measured: a relaxed ZnCr3Mo crystal at the PBE-GGA level of DFT.

Cell lengths 4.658, 4.658, 4.658 Å; angles 90.00, 90.00, 90.00 degrees
Space group Pm-3m (No. 221)
Symmetry-distinct sites (fractional):
1 Zn 0.000 0.000 0.000 [1 per cell]
2 Cr 0.000 0.500 0.500 [3 per cell]
3 Mo 0.500 0.500 0.500 [1 per cell]

## Properties
* E above lowest polymorph: 0 meV per atom
* raw total energy: -33.85 eV for the cell shown
* formation energy: 1.43 eV/atom
* V: 20.213 A^3/atom

***

[19]
Computed, not measured: a relaxed RbPu2TlCl8 crystal at the PBE-GGA level of DFT.

Cell lengths 6.880, 8.602, 7.359 Å; angles 90.00, 92.02, 90.00 degrees
Space group P2/m (No. 10)
Symmetry-distinct sites (fractional):
1 Rb 0.000 0.000 0.000 [1 per cell]
2 Pu 0.500 0.251 0.500 [2 per cell]
3 Tl 0.000 0.500 0.000 [1 per cell]
4 Cl 0.278 0.255 0.197 [4 per cell]
5 Cl 0.288 0.500 0.630 [2 per cell]
6 Cl 0.289 0.000 0.628 [2 per cell]

## Properties
* formation energy without anion corrections: -1.767 eV/atom
* raw total energy: -67.97 eV for the cell shown
* V: 36.271 A^3/atom

***

[20]
Computed, not measured: a relaxed NaCrC3 crystal at the PBE-GGA level of DFT.

Cell lengths 3.839, 3.839, 3.839 Å; angles 90.00, 90.00, 90.00 degrees
Space group Pm-3m (No. 221)
Symmetry-distinct sites (fractional):
1 Na 0.000 0.000 0.000 [1 per cell]
2 Cr 0.500 0.500 0.500 [1 per cell]
3 C 0.000 0.500 0.500 [3 per cell]

## Properties
* E above lowest polymorph: 0 meV per atom
* raw total energy: -31.70 eV for the cell shown
* formation energy: 1.38 eV/atom
* V: 11.312 A^3/atom